This record from OQMD via LeMat-Bulk describes a relaxed LuAlNiPd crystal. The functional is PBE.

Calculated values
Energy above the most stable polymorph in this dataset ... 0.00 eV per formula unit

Cell: 6.3733 6.3733 6.3733 Å, 90.00 90.00 90.00°
Space group F-43m (No. 216)
Symmetry-distinct sites (fractional):
1 Lu 0.0000 0.0000 0.0000 (multiplicity 4)
2 Al 0.0000 0.0000 0.5000 (multiplicity 4)
3 Ni 0.2500 0.2500 0.7500 (multiplicity 4)
4 Pd 0.2500 0.2500 0.2500 (multiplicity 4)


This record from OQMD via LeMat-Bulk describes a relaxed LuAlNiPd crystal. The functional is PBE.

Calculated values
Energy above the most stable polymorph in this dataset ... 1.39 eV per formula unit

Cell: 6.4688 6.4688 6.4688 Å, 90.00 90.00 90.00°
Space group F-43m (No. 216)
Symmetry-distinct sites (fractional):
1 Lu 0.0000 0.0000 0.0000 (multiplicity 4)
2 Al 0.2500 0.2500 0.2500 (multiplicity 4)
3 Ni 0.0000 0.0000 0.5000 (multiplicity 4)
4 Pd 0.2500 0.2500 0.7500 (multiplicity 4)


This record from OQMD via LeMat-Bulk describes a relaxed LuAlReNi crystal. The functional is PBE.

Cell: 6.4237 6.4237 6.4237 Å, 90.00 90.00 90.00°
Space group F-43m (No. 216)
Symmetry-distinct sites (fractional):
1 Lu 0.0000 0.0000 0.0000 (multiplicity 4)
2 Al 0.2500 0.2500 0.2500 (multiplicity 4)
3 Re 0.2500 0.2500 0.7500 (multiplicity 4)
4 Ni 0.0000 0.0000 0.5000 (multiplicity 4)


This record from OQMD via LeMat-Bulk describes a relaxed Lu2Sc2Al5Ni2 crystal. The functional is PBE.

Cell: 6.9786 3.2816 9.0321 Å, 90.00 94.37 90.00°
Space group P2/m (No. 10)
Symmetry-distinct sites (fractional):
1 Lu 0.2372 0.0000 0.4454 (multiplicity 2)
2 Sc 0.1675 0.0000 0.8653 (multiplicity 2)
3 Al 0.1826 0.5000 0.1524 (multiplicity 2)
4 Al 0.4436 0.5000 0.7009 (multiplicity 2)
5 Al 0.5000 0.5000 0.0000 (multiplicity 1)
6 Ni 0.0677 0.5000 0.6438 (multiplicity 2)


This record from OQMD via LeMat-Bulk describes a relaxed LuTaAlNi crystal. The functional is PBE.

Calculated values
Energy above the most stable polymorph in this dataset ... 0.00 eV per formula unit

Cell: 6.5322 6.5322 6.5322 Å, 90.00 90.00 90.00°
Space group F-43m (No. 216)
Symmetry-distinct sites (fractional):
1 Lu 0.0000 0.0000 0.0000 (multiplicity 4)
2 Ta 0.2500 0.2500 0.2500 (multiplicity 4)
3 Al 0.0000 0.0000 0.5000 (multiplicity 4)
4 Ni 0.2500 0.2500 0.7500 (multiplicity 4)


This record from OQMD via LeMat-Bulk describes a relaxed TbLuAl4Ni2 crystal. The functional is PBE.

Cell: 6.8692 4.0465 10.0645 Å, 90.00 90.00 90.00°
Space group Amm2 (No. 38)
Symmetry-distinct sites (fractional):
1 Tb 0.0000 0.0000 0.0000 (multiplicity 2)
2 Lu 0.5000 0.0000 0.1223 (multiplicity 2)
3 Al 0.1978 0.0000 0.7162 (multiplicity 4)
4 Al 0.3057 0.0000 0.4049 (multiplicity 4)
5 Ni 0.0000 0.0000 0.2776 (multiplicity 2)
6 Ni 0.5000 0.0000 0.8464 (multiplicity 2)


This record from OQMD via LeMat-Bulk describes a relaxed LuAlTcNi crystal. The functional is PBE.

Calculated values
Energy above the most stable polymorph in this dataset ... 1.86 eV per formula unit

Cell: 6.4022 6.4022 6.4022 Å, 90.00 90.00 90.00°
Space group F-43m (No. 216)
Symmetry-distinct sites (fractional):
1 Lu 0.0000 0.0000 0.0000 (multiplicity 4)
2 Al 0.2500 0.2500 0.2500 (multiplicity 4)
3 Tc 0.2500 0.2500 0.7500 (multiplicity 4)
4 Ni 0.0000 0.0000 0.5000 (multiplicity 4)


This record from OQMD via LeMat-Bulk describes a relaxed LuAlTcNi crystal. The functional is PBE.

Calculated values
Energy above the most stable polymorph in this dataset ... 0.00 eV per formula unit

Cell: 6.3024 6.3024 6.3024 Å, 90.00 90.00 90.00°
Space group F-43m (No. 216)
Symmetry-distinct sites (fractional):
1 Lu 0.0000 0.0000 0.0000 (multiplicity 4)
2 Al 0.0000 0.0000 0.5000 (multiplicity 4)
3 Tc 0.2500 0.2500 0.2500 (multiplicity 4)
4 Ni 0.2500 0.2500 0.7500 (multiplicity 4)


This record from OQMD via LeMat-Bulk describes a relaxed LuZrAlNi crystal. The functional is PBE.

Cell: 6.6814 6.6814 6.6814 Å, 90.00 90.00 90.00°
Space group F-43m (No. 216)
Symmetry-distinct sites (fractional):
1 Lu 0.0000 0.0000 0.0000 (multiplicity 4)
2 Zr 0.2500 0.2500 0.7500 (multiplicity 4)
3 Al 0.2500 0.2500 0.2500 (multiplicity 4)
4 Ni 0.0000 0.0000 0.5000 (multiplicity 4)


This record from OQMD via LeMat-Bulk describes a relaxed LuNpAl crystal. The functional is PBE.

Cell: 6.9021 6.9021 6.9021 Å, 90.00 90.00 90.00°
Space group F-43m (No. 216)
Symmetry-distinct sites (fractional):
1 Lu 0.0000 0.0000 0.0000 (multiplicity 4)
2 Np 0.2500 0.2500 0.2500 (multiplicity 4)
3 Al 0.2500 0.2500 0.7500 (multiplicity 4)


This record from OQMD via LeMat-Bulk describes a relaxed Lu2AlO4 crystal. The functional is PBE.

Cell: 8.8323 8.8323 8.8323 Å, 90.00 90.00 90.00°
Space group Fd-3m (No. 227, origin choice 2)
Symmetry-distinct sites (fractional):
1 Lu 0.0000 0.0000 0.0000 (multiplicity 16)
2 Al 0.1250 0.1250 0.6250 (multiplicity 8)
3 O 0.0075 0.0075 0.7425 (multiplicity 32)


This record from OQMD via LeMat-Bulk describes a relaxed LuAlO3 crystal. The functional is PBE.

Cell: 5.3257 7.2833 5.0778 Å, 90.00 90.00 90.00°
Space group Pnma (No. 62)
Symmetry-distinct sites (fractional):
1 Lu 0.0649 0.2500 0.0165 (multiplicity 4)
2 Al 0.0000 0.0000 0.5000 (multiplicity 4)
3 O 0.0323 0.7500 0.3985 (multiplicity 4)
4 O 0.1990 0.5522 0.8027 (multiplicity 8)


| no. | E_tot (eV per cell) |
| --- | --- |
| 1 | -87.53 |
| 2 | -81.98 |
| 3 | -99.56 |
| 4 | -56.60 |
| 5 | -99.84 |
| 6 | -80.83 |
| 7 | -93.96 |
| 8 | -101.39 |
| 9 | -88.58 |
| 10 | -74.74 |
| 11 | -434.68 |
| 12 | -159.79 |